Entry 1:
## YPu2V (PBE)

Data for a geometry-optimized YPu2V structure.

Cell lengths 3.1974, 3.1974, 32.8973 Å; angles 90.00, 90.00, 120.00 degrees
With the nearest neighbours (Å) after each atom.
Space group R-3m (No. 166, hexagonal axes)
One atom of each set of equivalent atoms:
1 Y 0.0000 0.0000 0.0000 [3 per cell]  6 Y 3.20, 2 Pu 3.21
2 Pu 0.0000 0.0000 0.0975 [6 per cell]  3 V 2.93, 6 Pu 3.20, 1 Y 3.21
3 V 0.0000 0.0000 0.5000 [3 per cell]  6 Pu 2.93, 6 V 3.20

Calculated values
As for the formation energy: 0.53 eV/atom.

---

Entry 2:
## ReCl2 (PBE)

Data for a geometry-optimized ReCl2 structure.

Cell lengths 5.9128, 5.9128, 5.9128 Å; angles 90.00, 90.00, 90.00 degrees
With the nearest neighbours (Å) after each atom.
Space group Pa-3 (No. 205)
One atom of each set of equivalent atoms:
1 Re 0.0000 0.0000 0.0000 [4 per cell]  6 Cl 2.42
2 Cl 0.1498 0.6498 0.8502 [8 per cell]  3 Re 2.42

Calculated values
For the energy above the most stable polymorph in this dataset, the calculation gives 554 meV per atom. For the raw formation energy, the calculation gives 0.3013 eV/atom.

---

Entry 3:
## K2ZnIn3Sn4 (PBE)

Data for a geometry-optimized K2ZnIn3Sn4 structure.

Cell lengths 5.0661, 5.0661, 12.0829 Å; angles 90.00, 90.00, 90.00 degrees
With the nearest neighbours (Å) after each atom.
Space group P-4m2 (No. 115)
One atom of each set of equivalent atoms:
1 K 0.0000 0.5000 0.2418 [2 per cell]  8 Sn 3.86-4.02, 2 Zn 3.87, 6 In 3.87
2 Zn 0.5000 0.5000 0.0000 [1 per cell]  4 Sn 2.94
3 In 0.0000 0.0000 0.0000 [1 per cell]  4 Sn 2.94
4 In 0.0000 0.5000 0.6375 [2 per cell]  5 Sn 2.88-3.03
5 Sn 0.0000 0.0000 0.5000 [1 per cell]  4 In 3.03
6 Sn 0.0000 0.5000 0.8762 [2 per cell]  3 In 2.88-2.94, 2 Zn 2.94
7 Sn 0.5000 0.5000 0.5000 [1 per cell]  4 In 3.03

Calculated values
As for the formation energy: -0.13 eV/atom.

---

Entry 4:
## NdSmP (PBE)

Data for a geometry-optimized NdSmP structure.

Cell lengths 6.8536, 6.8536, 6.8536 Å; angles 90.00, 90.00, 90.00 degrees
With the nearest neighbours (Å) after each atom.
Space group F-43m (No. 216)
One atom of each set of equivalent atoms:
1 Nd 0.0000 0.0000 0.0000 [4 per cell]  4 P 2.97
2 Sm 0.0000 0.0000 0.5000 [4 per cell]  4 P 2.97
3 P 0.2500 0.2500 0.7500 [4 per cell]  4 Nd 2.97, 4 Sm 2.97

Calculated values
As for the formation energy: -0.86 eV/atom.

---

| no. | calculated volume (Å³ per cell) |
| --- | --- |
| 1 | 291 |
| 2 | 207 |
| 3 | 310 |
| 4 | 322 |